## i
Below is a geometry-optimized RbNaCu2 structure, with properties calculated at the PBE-GGA level.

POSCAR file:
```
RbNaCu2
1.0
-0.9193 -3.8524 3.7466
-5.0958 -1.0701 1.6160
-2.3883 -4.6855 -1.4372
Na Cu Rb
1 2 1
direct
0.0000 0.0000 0.0000
0.2500 0.2500 0.2500
0.7500 0.7500 0.7500
0.5000 0.5000 0.5000
```

Calculated values
The crystal system is cubic. Its space group is Fm-3m, No. 225.

***

## ii
Below is a geometry-optimized RbNaCu2 structure, with properties calculated at the PBE-GGA level.

POSCAR file:
```
RbNaCu2
1.0
4.9697 0.0000 0.0000
0.0000 4.9697 0.0000
2.4848 2.4848 9.9806
Na Cu Rb
2 4 2
direct
0.5000 0.5000 0.0000
0.2500 0.7500 0.5000
0.3746 0.1250 0.2500
0.3754 0.6250 0.2500
0.3750 0.6254 0.7500
0.8750 0.6246 0.7500
0.0000 0.0000 0.0000
0.7500 0.2500 0.5000
```

Calculated values
The crystal system is tetragonal. Its space group is I4_1/amd, No. 141.

***

Stability ranking, top entry: ii; the second entry is 0.121 eV/atom less favorable.

***

## i
Below is a geometry-optimized RbNaCu3 structure, with properties calculated at the PBE-GGA level.

POSCAR file:
```
RbNaCu3
1.0
5.8399 0.0000 0.0000
0.0000 5.8399 0.0000
0.0000 0.0000 5.8399
Na Cu Rb
1 3 1
direct
0.5000 0.5000 0.5000
0.0000 0.5000 0.0000
0.0000 0.0000 0.5000
0.5000 0.0000 0.0000
0.0000 0.0000 0.0000
```

Calculated values
The crystal system is cubic. Its space group is Pm-3m, No. 221.

***

## ii
Below is a geometry-optimized RbNaCu3 structure, with properties calculated at the PBE-GGA level.

POSCAR file:
```
RbNaCu3
1.0
-0.7494 5.1485 0.5460
-3.9675 -0.2166 -3.4027
-3.3263 -0.9016 3.9357
Na Cu Rb
1 3 1
direct
0.0000 0.0000 0.0000
0.0000 0.5000 0.0000
0.0000 0.0000 0.5000
0.5000 0.0000 0.0000
0.5000 0.5000 0.5000
```

Calculated values
The crystal system is cubic. Its space group is Pm-3m, No. 221.

***

Stability ranking, top entry: ii; the second entry is 0.489 eV/atom less favorable.

***

## i
Below is a geometry-optimized RbNaSr2Cu structure, with properties calculated at the PBE-GGA level.

POSCAR file:
```
RbNaSr2Cu
1.0
6.1055 0.0000 0.0000
0.0000 6.1055 0.0000
0.0000 0.0000 6.2535
Sr Cu Rb Na
2 1 1 1
direct
0.0000 0.5000 0.0000
0.5000 0.0000 0.0000
0.0000 0.0000 0.0000
0.5000 0.5000 0.5000
0.0000 0.0000 0.5000
```

Calculated values
The crystal system is tetragonal. Its space group is P4/mmm, No. 123.

***

## ii
Below is a geometry-optimized RbNaSr2Cu structure, with properties calculated at the PBE-GGA level.

POSCAR file:
```
RbNaSr2Cu
1.0
6.0695 0.0000 0.0000
0.0000 6.0695 0.0000
0.0000 0.0000 6.6700
Sr Cu Rb Na
2 1 1 1
direct
0.0000 0.5000 0.0000
0.5000 0.0000 0.0000
0.0000 0.0000 0.0000
0.0000 0.0000 0.5000
0.5000 0.5000 0.5000
```

Calculated values
The crystal system is tetragonal. Its space group is P4/mmm, No. 123.

***

Stability ranking, top entry: i; the second entry is 0.018 eV/atom less favorable.

***

## i
Below is a geometry-optimized Na3CuRe structure, with properties calculated at the PBE-GGA level.

POSCAR file:
```
Na3CuRe
1.0
5.2571 0.0000 0.0000
0.0000 5.2571 0.0000
0.0000 0.0000 5.2571
Re Cu Na
1 1 3
direct
0.5000 0.5000 0.5000
0.0000 0.0000 0.0000
0.0000 0.5000 0.0000
0.0000 0.0000 0.5000
0.5000 0.0000 0.0000
```

Calculated values
The crystal system is cubic. Its space group is Pm-3m, No. 221.

***

## ii
Below is a geometry-optimized Na3CuRe structure, with properties calculated at the PBE-GGA level.

POSCAR file:
```
Na3CuRe
1.0
-5.3745 -1.9448 -0.9009
0.8589 -4.1825 3.9049
-1.9637 3.4934 4.1737
Re Cu Na
1 1 3
direct
0.0000 0.0000 0.0000
0.5000 0.5000 0.5000
0.0000 0.5000 0.0000
0.0000 0.0000 0.5000
0.5000 0.0000 0.0000
```

Calculated values
The crystal system is cubic. Its space group is Pm-3m, No. 221.

***

Stability ranking, top entry: i; the second entry is 0.243 eV/atom less favorable.